Entry from Alexandria via LeMat-Bulk: a relaxed NaAcSb2Pd2 crystal (PBE).

Calculated values
Energy relative to the elements, uncorrected, meV per atom: -741
Energy, eV for the cell shown: -28.5
Symmetry: P-3m1, No. 164

a = 4.711 Å, b = 4.711 Å, c = 7.458 Å
α = 90.00°, β = 90.00°, γ = 120.00°
Element x y z (fractional)
Pd  0.333  0.667  0.685
Pd  0.667  0.333  0.315
Sb  0.667  0.333  0.715
Sb  0.333  0.667  0.285
Na  0.000  0.000  0.500
Ac  0.000  0.000  0.000